Here is a relaxed structure of Mn2SnF from Alexandria via LeMat-Bulk. Energies are from PBE+U.

```
data_Mn2SnF
_cell_length_a 6.776
_cell_length_b 6.776
_cell_length_c 6.814
_cell_angle_alpha 90.00
_cell_angle_beta 90.00
_cell_angle_gamma 90.00
_symmetry_space_group_name_H-M 'I -4 2 d'
_symmetry_Int_Tables_number 122
_symmetry_space_group_name_Hall 'I -4 2bw'
loop_
_atom_site_label
_atom_site_type_symbol
_atom_site_fract_x
_atom_site_fract_y
_atom_site_fract_z
Mn1 Mn 0.172 0.250 0.125
Sn1 Sn 0.000 0.000 0.500
F1 F 0.000 0.000 0.000
```

Its raw total energy is -91.8 eV/cell.